No. 1
# Mg2Tl2Cu, relaxed, DFT GGA-PBE
# DFT total energy = -11.330 eV per formula unit
# spin magnetization = 0.00 μB per formula unit
data_Mg2Tl2Cu
_cell_length_a 7.075
_cell_length_b 7.075
_cell_length_c 4.717
_cell_angle_alpha 90.00
_cell_angle_beta 90.00
_cell_angle_gamma 90.00
_symmetry_space_group_name_H-M 'P 1'
_symmetry_Int_Tables_number 1
_symmetry_space_group_name_Hall 'P 1'
loop_
_atom_site_label
_atom_site_fract_x
_atom_site_fract_y
_atom_site_fract_z
Mg1 0.154 0.346 0.000
Mg2 0.346 0.846 0.000
Mg3 0.654 0.154 0.000
Mg4 0.846 0.654 0.000
Tl1 0.165 0.665 0.500
Tl2 0.335 0.165 0.500
Tl3 0.665 0.835 0.500
Tl4 0.835 0.335 0.500
Cu1 0.000 0.000 0.000
Cu2 0.500 0.500 0.000



No. 2
# TeRhF2, relaxed, DFT GGA-PBE
# DFT total energy = -16.619 eV per formula unit
# raw formation energy = -2.4 eV per formula unit
# spin magnetization = 1.26 μB per formula unit
data_TeRhF2
_cell_length_a 8.937
_cell_length_b 8.937
_cell_length_c 8.937
_cell_angle_alpha 19.36
_cell_angle_beta 19.36
_cell_angle_gamma 19.36
_symmetry_space_group_name_H-M 'P 1'
_symmetry_Int_Tables_number 1
_symmetry_space_group_name_Hall 'P 1'
loop_
_atom_site_label
_atom_site_fract_x
_atom_site_fract_y
_atom_site_fract_z
Te1 0.000 0.000 0.000
Rh1 0.500 0.500 0.500
F1 0.427 0.427 0.427
F2 0.573 0.573 0.573



No. 3
# AcLa5Tl6, relaxed, DFT GGA-PBE
# DFT total energy = -47.840 eV per formula unit
# spin magnetization = 0.00 μB per formula unit
data_AcLa5Tl6
_cell_length_a 5.685
_cell_length_b 8.008
_cell_length_c 9.799
_cell_angle_alpha 114.02
_cell_angle_beta 106.36
_cell_angle_gamma 90.05
_symmetry_space_group_name_H-M 'P 1'
_symmetry_Int_Tables_number 1
_symmetry_space_group_name_Hall 'P 1'
loop_
_atom_site_label
_atom_site_fract_x
_atom_site_fract_y
_atom_site_fract_z
Ac1 0.000 0.000 0.000
La1 0.000 0.500 0.000
La2 0.331 0.331 0.661
La3 0.337 0.836 0.673
La4 0.663 0.164 0.327
La5 0.669 0.669 0.339
Tl1 0.168 0.424 0.338
Tl2 0.169 0.914 0.338
Tl3 0.500 0.261 0.000
Tl4 0.500 0.739 0.000
Tl5 0.831 0.086 0.662
Tl6 0.832 0.576 0.662



No. 4
# LiZr4Co, relaxed, DFT GGA-PBE
# DFT total energy = -38.970 eV per formula unit
# spin magnetization = 1.35 μB per formula unit
data_LiZr4Co
_cell_length_a 5.704
_cell_length_b 5.704
_cell_length_c 5.704
_cell_angle_alpha 60.00
_cell_angle_beta 60.00
_cell_angle_gamma 60.00
_symmetry_space_group_name_H-M 'P 1'
_symmetry_Int_Tables_number 1
_symmetry_space_group_name_Hall 'P 1'
loop_
_atom_site_label
_atom_site_fract_x
_atom_site_fract_y
_atom_site_fract_z
Li1 0.000 0.000 0.000
Zr1 0.129 0.624 0.624
Zr2 0.624 0.129 0.624
Zr3 0.624 0.624 0.129
Zr4 0.624 0.624 0.624
Co1 0.250 0.250 0.250



No. 5
# SmErCuHg, relaxed, DFT GGA-PBE
# DFT total energy = -15.046 eV per formula unit
# spin magnetization = 0.00 μB per formula unit
data_SmErCuHg
_cell_length_a 3.562
_cell_length_b 3.562
_cell_length_c 7.487
_cell_angle_alpha 90.00
_cell_angle_beta 90.00
_cell_angle_gamma 90.00
_symmetry_space_group_name_H-M 'P 1'
_symmetry_Int_Tables_number 1
_symmetry_space_group_name_Hall 'P 1'
loop_
_atom_site_label
_atom_site_fract_x
_atom_site_fract_y
_atom_site_fract_z
Sm1 0.000 0.000 0.000
Er1 0.000 0.000 0.455
Cu1 0.500 0.500 0.247
Hg1 0.500 0.500 0.716



No. 6
# Ca3Tb2Hg3, relaxed, DFT GGA-PBE
# DFT total energy = -19.329 eV per formula unit
# spin magnetization = 0.00 μB per formula unit
data_Ca3Tb2Hg3
_cell_length_a 11.730
_cell_length_b 11.730
_cell_length_c 11.730
_cell_angle_alpha 161.50
_cell_angle_beta 153.21
_cell_angle_gamma 32.75
_symmetry_space_group_name_H-M 'P 1'
_symmetry_Int_Tables_number 1
_symmetry_space_group_name_Hall 'P 1'
loop_
_atom_site_label
_atom_site_fract_x
_atom_site_fract_y
_atom_site_fract_z
Ca1 0.000 0.000 0.000
Ca2 0.381 0.881 0.500
Ca3 0.619 0.119 0.500
Tb1 0.231 0.231 0.000
Tb2 0.769 0.769 0.000
Hg1 0.121 0.621 0.500
Hg2 0.500 0.500 0.000
Hg3 0.879 0.379 0.500



No. 7
# SiGeS2, relaxed, DFT GGA-PBE
# DFT total energy = -18.991 eV per formula unit
# raw formation energy = -0.7 eV per formula unit
# spin magnetization = 0.00 μB per formula unit
data_SiGeS2
_cell_length_a 8.265
_cell_length_b 8.265
_cell_length_c 8.265
_cell_angle_alpha 23.25
_cell_angle_beta 23.25
_cell_angle_gamma 23.25
_symmetry_space_group_name_H-M 'P 1'
_symmetry_Int_Tables_number 1
_symmetry_space_group_name_Hall 'P 1'
loop_
_atom_site_label
_atom_site_fract_x
_atom_site_fract_y
_atom_site_fract_z
Si1 0.000 0.000 0.000
Ge1 0.500 0.500 0.500
S1 0.388 0.388 0.388
S2 0.612 0.612 0.612